Entry 1:
A plane-wave DFT calculation with GGA+U was carried out for a geometry-optimized PaTl2Fe2O6 structure.

Calculated values
Total energy in eV/cell: -74.95
Magnetization in μB/atom: 0.8182

```
data_PaTl2Fe2O6
_space_group_name_H-M_alt 'P -3'
_space_group_IT_number 147
_space_group_name_Hall '-P 3'
_cell_length_a 5.5583
_cell_length_b 5.5583
_cell_length_c 7.7457
_cell_angle_alpha 90.00
_cell_angle_beta 90.00
_cell_angle_gamma 120.00
loop_
_atom_site_label
_atom_site_type_symbol
_atom_site_fract_x
_atom_site_fract_y
_atom_site_fract_z
Pa1 Pa 0.0000 0.0000 0.0000
Tl1 Tl 0.3333 0.6667 0.3792
Fe1 Fe 0.3333 0.6667 0.9705
O1 O 0.0129 0.6626 0.1397
```

Entry 2:
A plane-wave DFT calculation with GGA+U was carried out for a geometry-optimized PaTlFeO5 structure.

Calculated values
Total energy in eV/cell: -235.86
Magnetization in μB/atom: 0.5393

```
data_PaTlFeO5
_space_group_name_H-M_alt 'C 1 2/c 1'
_space_group_IT_number 15
_space_group_name_Hall '-C 2yc'
_cell_length_a 7.056
_cell_length_b 10.074
_cell_length_c 8.155
_cell_angle_alpha 90.00
_cell_angle_beta 114.41
_cell_angle_gamma 90.00
loop_
_atom_site_label
_atom_site_type_symbol
_atom_site_fract_x
_atom_site_fract_y
_atom_site_fract_z
Pa1 Pa 0.000 0.000 0.000
Tl1 Tl 0.000 0.325 0.250
Fe1 Fe 0.000 0.311 0.750
O1 O 0.000 0.077 0.250
O2 O 0.122 0.199 0.631
O3 O 0.193 0.425 0.920
```

Entry 3:
A plane-wave DFT calculation with GGA+U was carried out for a geometry-optimized PaTl3Fe2O9 structure.

Calculated values
Total energy in eV/cell: -93.31
Magnetization in μB/atom: 0.5986

```
data_PaTl3Fe2O9
_space_group_name_H-M_alt 'P -3 m 1'
_space_group_IT_number 164
_space_group_name_Hall '-P 3 2"'
_cell_length_a 5.7575
_cell_length_b 5.7575
_cell_length_c 7.2797
_cell_angle_alpha 90.00
_cell_angle_beta 90.00
_cell_angle_gamma 120.00
loop_
_atom_site_label
_atom_site_type_symbol
_atom_site_fract_x
_atom_site_fract_y
_atom_site_fract_z
Pa1 Pa 0.0000 0.0000 0.0000
Tl1 Tl 0.0000 0.0000 0.5000
Tl2 Tl 0.3333 0.6667 0.2365
Fe1 Fe 0.3333 0.6667 0.6676
O1 O 0.0000 0.5000 0.5000
O2 O 0.1707 0.3415 0.8193
```

Entry 4:
A plane-wave DFT calculation with GGA+U was carried out for a geometry-optimized Pa3Tl4FeO12 structure.

Calculated values
Total energy in eV/cell: -293.69
Magnetization in μB/atom: 0.2247

```
data_Pa3Tl4FeO12
_space_group_name_H-M_alt 'I m -3 m'
_space_group_IT_number 229
_space_group_name_Hall '-I 4 2 3'
_cell_length_a 8.633
_cell_length_b 8.633
_cell_length_c 8.633
_cell_angle_alpha 90.00
_cell_angle_beta 90.00
_cell_angle_gamma 90.00
loop_
_atom_site_label
_atom_site_type_symbol
_atom_site_fract_x
_atom_site_fract_y
_atom_site_fract_z
Pa1 Pa 0.000 0.000 0.500
Tl1 Tl 0.250 0.250 0.250
Fe1 Fe 0.000 0.000 0.000
O1 O 0.000 0.000 0.245
O2 O 0.000 0.250 0.500
```

Question: What is the total energy in the third record?
Answer: -93.31 eV/cell

Question: Number 3 is which compound?
Answer: PaTl3Fe2O9